No. 1
LiTe2Au | PBE | optimized geometry

Geometry as POSCAR:
```
LiTe2Au
1.0
6.054 -2.036 0.000
6.054 2.036 0.000
-0.787 0.000 4.068
Li Te Au
1 2 1
direct
0.000 0.000 0.000 Li
0.273 0.273 0.418 Te
0.515 0.515 0.508 Te
0.752 0.752 0.911 Au
```

Values from the calculation:
ρ: 7.6 Mg/m³
V: 100.3 Å³/cell
Formation energy from raw total energies: -298 meV per atom
SG: Cm



No. 2
Sr2H2Pb | PBE | optimized geometry

Geometry as POSCAR:
```
Sr2H2Pb
1.0
3.799 0.000 0.000
0.000 3.799 0.000
0.000 0.000 8.095
Sr H Pb
2 2 1
direct
0.000 0.000 0.200 Sr
0.000 0.000 0.800 Sr
0.000 0.500 0.000 H
0.500 0.000 0.000 H
0.500 0.500 0.500 Pb
```

Values from the calculation:
ΔE to the lowest computed polymorph: 131 meV/atom
ρ: 5.5 Mg/m³
V: 116.9 Å³/cell
SG: P4/mmm